Material: Rb2BI6O
Method: DFT, PBE-GGA
State: optimized geometry

Cell lengths 8.0205, 8.0205, 8.0205 Å; angles 123.22, 123.22, 84.52 degrees
With the nearest neighbours (Å) after each atom.
Fractional coordinates of all 10 atoms:
Rb1 0.2500 0.7500 0.5000  12 I 3.86-4.02
Rb2 0.7500 0.2500 0.5000  12 I 3.86-4.02
B1 0.0000 0.0000 0.0000  4 I 2.42
I1 0.2244 0.2244 0.4487  1 B 2.42
I2 0.2244 0.7756 0.0000  1 B 2.42
I3 0.3003 0.3003 0.0000  1 O 2.37
I4 0.6997 0.6997 0.0000  1 O 2.37
I5 0.7756 0.2244 0.0000  1 B 2.42
I6 0.7756 0.7756 0.5513  1 B 2.42
O1 0.5000 0.5000 0.0000  2 I 2.37

Results
symmetry: I4/mmm
electronic total energy: -0.184 Ry/atom
magnetic moment: 0.0 μB per cell
formation energy without anion corrections: -5.0 kcal/mol of atoms

Material: IrBrCl2
Method: DFT, PBE-GGA
State: optimized geometry

Cell lengths 5.1185, 12.5184, 3.5478 Å; angles 90.00, 90.00, 90.00 degrees
With the nearest neighbours (Å) after each atom.
Fractional coordinates of all 8 atoms:
Ir1 0.0000 0.0000 0.0000  4 Cl 2.37, 2 Br 2.56
Ir2 0.5000 0.5000 0.0000  4 Cl 2.37, 2 Br 2.56
Br1 0.0000 0.5000 0.0000  2 Ir 2.56
Br2 0.5000 0.0000 0.0000  2 Ir 2.56
Cl1 0.0000 0.1253 0.5000  2 Ir 2.37
Cl2 0.0000 0.8747 0.5000  2 Ir 2.37
Cl3 0.5000 0.3747 0.5000  2 Ir 2.37
Cl4 0.5000 0.6253 0.5000  2 Ir 2.37

Results
symmetry: Cmmm
electronic total energy: -0.278 Ry/atom
magnetic moment: 0.0 μB per cell
formation energy without anion corrections: -5.2 kcal/mol of atoms

Material: Na14Ag2Se9
Method: DFT, PBE-GGA
State: optimized geometry

Cell lengths 8.3508, 8.3508, 11.5259 Å; angles 90.00, 90.00, 120.00 degrees
With the nearest neighbours (Å) after each atom.
Fractional coordinates of all 25 atoms:
Na1 0.0000 0.0000 0.2475  4 Se 2.91-2.92
Na2 0.0000 0.0000 0.7525  4 Se 2.91-2.92
Na3 0.0152 0.6682 0.4090  4 Se 2.90-3.02
Na4 0.0477 0.3729 0.0968  4 Se 2.89-2.97
Na5 0.3252 0.9523 0.0968  4 Se 2.89-2.97
Na6 0.3318 0.3470 0.4090  4 Se 2.90-3.02
Na7 0.3470 0.0152 0.5910  4 Se 2.90-3.02
Na8 0.3729 0.3252 0.9032  4 Se 2.89-2.97
Na9 0.6271 0.6748 0.0968  4 Se 2.89-2.97
Na10 0.6530 0.9848 0.4090  4 Se 2.90-3.02
Na11 0.6682 0.6530 0.5910  4 Se 2.90-3.02
Na12 0.6748 0.0477 0.9032  4 Se 2.89-2.97
Na13 0.9523 0.6271 0.9032  4 Se 2.89-2.97
Na14 0.9848 0.3318 0.5910  4 Se 2.90-3.02
Ag1 0.3333 0.6667 0.7575  4 Se 2.71-2.72
Ag2 0.6667 0.3333 0.2425  4 Se 2.71-2.72
Se1 0.0000 0.0000 0.5000  8 Na 2.91-3.02
Se2 0.0435 0.3473 0.8399  1 Ag 2.72, 6 Na 2.89-2.97
Se3 0.3038 0.9565 0.8399  1 Ag 2.72, 6 Na 2.89-2.97
Se4 0.3333 0.6667 0.5224  1 Ag 2.71, 6 Na 2.96-2.97
Se5 0.3473 0.3038 0.1601  1 Ag 2.72, 6 Na 2.89-2.97
Se6 0.6527 0.6962 0.8399  1 Ag 2.72, 6 Na 2.89-2.97
Se7 0.6667 0.3333 0.4776  1 Ag 2.71, 6 Na 2.96-2.97
Se8 0.6962 0.0435 0.1601  1 Ag 2.72, 6 Na 2.89-2.97
Se9 0.9565 0.6527 0.1601  1 Ag 2.72, 6 Na 2.89-2.97

Results
symmetry: P-3
electronic total energy: -0.226 Ry/atom
magnetic moment: 0.0 μB per cell
formation energy without anion corrections: -19.8 kcal/mol of atoms

Material: SiBr2Cl
Method: DFT, PBE-GGA
State: optimized geometry

Cell lengths 4.2030, 4.2030, 5.3652 Å; angles 90.00, 90.00, 90.00 degrees
With the nearest neighbours (Å) after each atom.
Fractional coordinates of all 4 atoms:
Si1 0.0000 0.0000 0.0000  4 Cl 2.97
Br1 0.0000 0.5000 0.5000  4 Br 2.97
Br2 0.5000 0.0000 0.5000  4 Br 2.97
Cl1 0.5000 0.5000 0.0000  4 Si 2.97

Results
symmetry: P4/mmm
electronic total energy: -0.167 Ry/atom
magnetic moment: 0.0 μB per cell
formation energy without anion corrections: 8.8 kcal/mol of atoms

Look up the electronic total energy of the first one. -0.184 Ry/atom

What is the formula in the fourth record? SiBr2Cl

Which value of electronic total energy does entry 2 give? -0.278 Ry/atom